[1]
Material: TmCoGe
Method: DFT, PBE
State: optimized geometry

Values from the calculation:
- total magnetization (μB/cell) = 0.00
- space group = P-6m2 (187)
- ΔH_f (0 K) (eV/atom) = -0.59
- total DFT energy (no corrections) (eV/cell) = -18.0
- Fermi-level density of states (states/eV/cell) = 3.06

Geometry as POSCAR:
```
TmCoGe
1.0
3.6214 0.0000 0.0000
0.0000 4.1177 0.0000
0.0000 -2.0588 3.5660
Ge Tm Co
1 1 1
Cartesian
0.6037 0.0000 0.0000
2.4139 0.0000 2.3774
0.6037 2.0589 1.1887
```



[2]
Material: TmCo6Ge6
Method: DFT, PBE
State: optimized geometry

Values from the calculation:
- total magnetization (μB/cell) = 0.00
- space group = P6/mmm (191)
- ΔH_f (0 K) (eV/atom) = -0.36
- total DFT energy (no corrections) (eV/cell) = -79.4
- Fermi-level density of states (states/eV/cell) = 8.19

Geometry as POSCAR:
```
TmCo6Ge6
1.0
-1.8323 4.7113 -0.4855
-3.1024 -3.9925 -0.4733
-1.4625 0.2242 7.6955
Ge Co Tm
6 6 1
Cartesian
-2.2557 1.8100 -0.4814
-0.5033 0.0772 2.6484
-3.4104 -0.9792 3.3704
-2.9870 1.9222 3.3663
-2.6791 -1.0913 -0.4774
-0.9592 0.1471 5.0471
-1.2826 2.4118 1.6854
-2.6473 -1.8282 5.5307
-2.0123 2.5237 5.5246
-1.9177 -1.9401 1.6915
-2.8338 0.4156 1.4488
-3.5635 0.5274 5.2879
0.0000 0.0000 0.0000
```



[3]
Material: TmCoGe4
Method: DFT, PBE
State: optimized geometry

Values from the calculation:
- total magnetization (μB/cell) = 0.00
- space group = P4_2/nmc (137)
- ΔH_f (0 K) (eV/atom) = 0.01
- total DFT energy (no corrections) (eV/cell) = -60.0
- Fermi-level density of states (states/eV/cell) = 6.41

Geometry as POSCAR:
```
TmCoGe4
1.0
5.0036 0.0000 0.0000
0.0000 5.0036 0.0000
0.0000 0.0000 9.7288
Co Ge Tm
2 8 2
Cartesian
2.5018 2.5018 4.8644
0.0000 0.0000 0.0000
0.0000 3.7271 7.8481
3.7271 0.0000 1.8808
2.5018 1.2253 6.7452
3.7783 2.5018 2.9837
0.0000 1.2765 7.8481
1.2253 2.5018 2.9837
1.2765 0.0000 1.8808
2.5018 3.7783 6.7452
2.5018 2.5018 0.0000
0.0000 0.0000 4.8644
```



[4]
Material: TmCo4Ge12
Method: DFT, PBE
State: optimized geometry

Values from the calculation:
- total magnetization (μB/cell) = 0.00
- space group = Im-3 (204)
- ΔH_f (0 K) (eV/atom) = -0.10
- total DFT energy (no corrections) (eV/cell) = -89.9
- Fermi-level density of states (states/eV/cell) = 13.98

Geometry as POSCAR:
```
TmCo4Ge12
1.0
-5.2775 4.9636 0.0335
-0.2349 -3.7328 -6.2050
-0.9104 -4.5307 5.5799
Ge Co Tm
12 4 1
Cartesian
-1.4439 -3.7861 -3.2851
-3.0081 0.3484 0.9058
-4.3575 -2.3708 1.6134
-1.7647 -5.3770 0.5039
-2.0653 -0.9290 -2.2050
-3.4146 -3.6482 -1.4973
-5.0227 -0.5546 -1.2946
-3.8208 -0.5371 -4.1705
-4.6580 2.0771 -1.0955
-1.4000 -2.7452 0.7030
-2.6019 -2.7628 3.5789
-4.9788 0.4863 2.6935
-0.1174 -1.8664 -3.1025
-0.4552 -2.2653 2.7899
-2.6388 2.4818 0.0168
-3.2114 -1.6499 -0.2958
0.0000 0.0000 0.0000
```



[5]
Material: Tm4CoGe3
Method: DFT, PBE
State: optimized geometry

Values from the calculation:
- total magnetization (μB/cell) = 0.00
- space group = Pmm2 (25)
- ΔH_f (0 K) (eV/atom) = -0.69
- total DFT energy (no corrections) (eV/cell) = -44.3
- Fermi-level density of states (states/eV/cell) = 6.52

Geometry as POSCAR:
```
Tm4CoGe3
1.0
4.1219 0.0000 0.0000
0.0000 3.9291 0.0000
0.0000 0.0000 10.5157
Ge Tm Co
3 4 1
Cartesian
0.0000 1.9646 6.1632
2.0609 0.0000 9.7372
0.0000 0.0000 4.4090
2.0609 1.9646 3.6591
2.0609 0.0000 6.7576
0.0000 1.9646 9.1337
0.0000 0.0000 1.4256
2.0609 1.9646 0.7776
```



[6]
Material: TmCo6Ge12
Method: DFT, PBE
State: optimized geometry

Values from the calculation:
- total magnetization (μB/cell) = 0.00
- space group = R-3m (166)
- ΔH_f (0 K) (eV/atom) = -0.08
- total DFT energy (no corrections) (eV/cell) = -104.1
- Fermi-level density of states (states/eV/cell) = 16.88

Geometry as POSCAR:
```
TmCo6Ge12
1.0
7.0068 -0.1004 -0.1415
-1.8342 6.7632 -0.1415
-1.8342 -2.3626 6.3387
Ge Co Tm
12 6 1
Cartesian
3.8084 2.5712 3.6210
1.6692 5.6291 0.5575
-0.4700 1.7289 2.4348
1.5469 4.3270 3.6210
-1.7013 1.2877 5.4983
1.5469 1.9926 5.2786
1.7915 2.3076 0.7772
1.6692 -1.3290 5.4983
1.7915 -0.0268 2.4348
5.0397 3.0125 0.5575
5.0397 -0.4666 3.0279
-1.7013 4.7667 3.0279
-0.5404 3.1188 4.3921
3.1554 4.0645 1.6832
0.1830 4.0506 1.6636
3.8788 1.1813 1.6636
0.1830 0.2357 4.3726
3.1554 0.2496 4.3921
0.0000 0.0000 0.0000
```



[7]
Material: TmCo2Ge4
Method: DFT, PBE
State: optimized geometry

Values from the calculation:
- total magnetization (μB/cell) = 0.00
- space group = Pnma (62)
- ΔH_f (0 K) (eV/atom) = -0.42
- total DFT energy (no corrections) (eV/cell) = -160.5
- Fermi-level density of states (states/eV/cell) = 10.07

Geometry as POSCAR:
```
TmCo2Ge4
1.0
-2.3355 0.9968 3.1127
-5.2417 -1.8517 -3.3398
1.5674 -15.5256 6.1476
Ge Co Tm
16 8 4
Cartesian
-2.8287 -4.7686 3.2928
-1.3982 -3.2220 1.2787
-5.0237 -5.2645 1.8047
-0.4618 -8.2187 3.5813
-2.4512 -0.8818 -0.2607
-6.7794 -2.1026 -0.5251
-2.4165 -7.3638 1.8410
-4.4994 -4.0379 -0.7868
-5.5479 -8.1618 2.3391
0.7697 -14.2779 6.4456
-3.5932 -9.0167 4.0795
-3.1810 -11.6119 2.6277
-0.9860 -11.1161 4.1158
-3.5585 -15.4987 6.1812
-4.6115 -13.1585 4.6418
-1.5103 -12.3426 6.7073
-1.4841 -2.5651 3.5960
-3.6745 -9.4359 1.5607
-1.5456 -14.7053 7.4374
-2.8178 -5.1725 0.8382
-4.4641 -1.6752 -1.5169
-4.5256 -13.8154 2.3245
-2.3352 -6.9446 4.3598
-3.1919 -11.2080 5.0823
-1.9063 -14.0214 4.3557
-5.2166 -7.1511 -0.3280
-4.1034 -2.3591 1.5648
-0.7931 -9.2294 6.2485
```



[8]
Material: TmCoGe2
Method: DFT, PBE
State: optimized geometry

Values from the calculation:
- total magnetization (μB/cell) = 0.00
- space group = Immm (71)
- ΔH_f (0 K) (eV/atom) = -0.64
- total DFT energy (no corrections) (eV/cell) = -93.4
- Fermi-level density of states (states/eV/cell) = 7.35

Geometry as POSCAR:
```
TmCoGe2
1.0
3.9982 0.0000 -0.9289
-0.9502 7.5164 -4.0899
0.0174 0.0467 9.1438
Ge Tm Co
8 4 4
Cartesian
-0.2307 4.3615 -0.9931
3.2961 3.2016 5.1180
2.7620 0.3021 2.8193
0.2565 0.6332 1.1041
2.8089 6.9299 3.0208
0.3033 7.2610 1.3056
0.6080 4.8507 2.6171
2.4573 2.7123 1.5078
1.7497 1.9731 -1.5381
0.9033 2.2298 3.8880
1.2983 5.5433 -3.4808
2.1621 5.3333 0.2369
2.8541 4.5753 3.2155
3.3291 0.8181 5.2599
-0.2637 6.7449 -1.1350
0.2113 2.9877 0.9094
```



[9]
Material: TmCoGe
Method: DFT, PBE
State: optimized geometry

Values from the calculation:
- total magnetization (μB/cell) = 0.00
- space group = Pnma (62)
- ΔH_f (0 K) (eV/atom) = -0.69
- total DFT energy (no corrections) (eV/cell) = -73.1
- Fermi-level density of states (states/eV/cell) = 7.80

Geometry as POSCAR:
```
TmCoGe
1.0
-4.0203 -0.9335 0.7631
1.9511 -4.9776 4.1902
-0.0283 4.5890 5.4645
Tm Co Ge
4 4 4
Cartesian
-2.0413 -0.0337 6.5187
-0.0562 -1.2884 3.8991
0.9223 -4.2576 5.4220
-3.0198 2.9355 4.9957
-0.7181 1.5902 3.9335
0.2470 0.7917 8.0413
-1.3794 -2.9123 6.4843
-2.3445 -2.1138 2.3764
-0.4536 2.4122 6.3326
-2.6278 0.1058 3.5991
-1.6440 -3.7343 4.0851
0.5303 -1.4279 6.8186
```



[10]
Material: TmCoGe2
Method: DFT, PBE
State: optimized geometry

Values from the calculation:
- total magnetization (μB/cell) = 0.00
- space group = Pnma (62)
- ΔH_f (0 K) (eV/atom) = -0.56
- total DFT energy (no corrections) (eV/cell) = -92.2
- Fermi-level density of states (states/eV/cell) = 3.03

Geometry as POSCAR:
```
TmCoGe2
1.0
-2.9627 1.1264 -2.7821
2.9926 -3.4121 -4.5685
-5.3316 -7.9620 2.4541
Co Ge Tm
4 8 4
Cartesian
-5.7712 -7.7398 -1.7828
-2.6221 -3.1841 -0.0952
0.4695 -2.5079 -3.1137
-2.6796 -7.0635 -4.8013
-3.9940 -3.6703 -2.0276
-0.2002 -1.9454 -5.3694
-5.1015 -8.3022 0.4729
-1.1710 -3.9384 -1.9460
-1.3077 -6.5774 -2.8688
-4.1308 -6.3092 -2.9505
1.2370 -4.2831 -4.6498
-6.5387 -5.9645 -0.2467
-1.6755 -4.4026 -4.7933
-2.9760 -8.8145 -1.9980
-3.6263 -5.8450 -0.1032
-2.3258 -1.4332 -2.8984
```



[11]
Material: Tm3CoGe3
Method: DFT, PBE
State: optimized geometry

Values from the calculation:
- total magnetization (μB/cell) = 0.44
- space group = C2/m (12)
- ΔH_f (0 K) (eV/atom) = -0.79
- total DFT energy (no corrections) (eV/cell) = -79.7
- Fermi-level density of states (states/eV/cell) = 8.29

Geometry as POSCAR:
```
Tm3CoGe3
1.0
-1.0521 -3.9858 0.6146
1.9131 -3.3233 -4.1448
10.5088 -3.9695 6.3782
Tm Ge Co
6 6 2
Cartesian
4.8088 -5.6369 -0.0601
1.6118 -5.1109 -2.1217
8.7326 -8.4882 2.2974
9.7581 -6.1677 4.9697
2.6372 -2.7904 0.5506
6.5610 -5.6417 2.9081
0.2215 -4.3741 0.2768
8.2063 -3.6956 4.2132
6.2521 -8.0366 0.9801
11.1483 -6.9045 2.5712
3.1635 -7.5830 -1.3652
5.1177 -3.2420 1.8679
3.6951 -4.9040 2.7864
7.6747 -6.3746 0.0616
```



[12]
Material: TmZnCoGe2
Method: DFT, PBE
State: optimized geometry

Values from the calculation:
- total magnetization (μB/cell) = 0.00
- space group = Pmma (51)
- ΔH_f (0 K) (eV/atom) = -0.42
- total DFT energy (no corrections) (eV/cell) = -48.4
- Fermi-level density of states (states/eV/cell) = 3.34

Geometry as POSCAR:
```
TmZnCoGe2
1.0
-2.5325 3.1626 -3.9093
-0.8180 -4.4438 -3.0651
-4.8305 -0.8146 2.4702
Tm Ge Co Zn
2 4 2 2
Cartesian
-3.1804 -0.8182 -0.3965
-5.0007 -1.2777 -4.1076
-4.8298 -3.1285 -1.4698
-2.5193 -2.7389 -2.6514
-3.3512 1.0327 -3.0343
-5.6617 0.6430 -1.8528
0.0000 0.0000 0.0000
-0.4090 -2.2219 -1.5325
-2.2143 -1.3339 -4.7698
-1.1363 0.0526 -2.2046
```



What did the second record say?
Material: TmCo6Ge6
Method: DFT, PBE
State: optimized geometry

Values from the calculation:
- total magnetization (μB/cell) = 0.00
- space group = P6/mmm (191)
- ΔH_f (0 K) (eV/atom) = -0.36
- total DFT energy (no corrections) (eV/cell) = -79.4
- Fermi-level density of states (states/eV/cell) = 8.19

Geometry as POSCAR:
```
TmCo6Ge6
1.0
-1.8323 4.7113 -0.4855
-3.1024 -3.9925 -0.4733
-1.4625 0.2242 7.6955
Ge Co Tm
6 6 1
Cartesian
-2.2557 1.8100 -0.4814
-0.5033 0.0772 2.6484
-3.4104 -0.9792 3.3704
-2.9870 1.9222 3.3663
-2.6791 -1.0913 -0.4774
-0.9592 0.1471 5.0471
-1.2826 2.4118 1.6854
-2.6473 -1.8282 5.5307
-2.0123 2.5237 5.5246
-1.9177 -1.9401 1.6915
-2.8338 0.4156 1.4488
-3.5635 0.5274 5.2879
0.0000 0.0000 0.0000
```



Question: Look up the total DFT energy (no corrections) of the eleventh one.
Answer: -79.7 eV/cell